--- w ---
The following is a GGA-PBE calculation of a geometry-optimized CsSmZn structure, from the Open Quantum Materials Database.

Structure (CIF):
```
data_CsSmZn
_symmetry_space_group_name_H-M 'P 1'
_symmetry_Int_Tables_number 1
_symmetry_space_group_name_Hall 'P 1'
_cell_length_a 7.438
_cell_length_b 7.438
_cell_length_c 7.438
_cell_angle_alpha 90.00
_cell_angle_beta 90.00
_cell_angle_gamma 90.00
loop_
_atom_site_label
_atom_site_type_symbol
_atom_site_fract_x
_atom_site_fract_y
_atom_site_fract_z
_atom_site_occupancy
Cs1 Cs 0.000 0.000 0.000 1
Cs2 Cs 0.000 0.500 0.500 1
Cs3 Cs 0.500 0.000 0.500 1
Cs4 Cs 0.500 0.500 0.000 1
Sm1 Sm 0.250 0.250 0.750 1
Sm2 Sm 0.250 0.750 0.250 1
Sm3 Sm 0.750 0.250 0.250 1
Sm4 Sm 0.750 0.750 0.750 1
Zn1 Zn 0.250 0.250 0.250 1
Zn2 Zn 0.250 0.750 0.750 1
Zn3 Zn 0.750 0.250 0.750 1
Zn4 Zn 0.750 0.750 0.250 1
```

Values from the calculation:
- Total moment: 0.02 Bohr magnetons per cell



--- x ---
The following is a GGA-PBE calculation of a geometry-optimized CsSmZn structure, from the Open Quantum Materials Database.

Structure (CIF):
```
data_CsSmZn
_symmetry_space_group_name_H-M 'P 1'
_symmetry_Int_Tables_number 1
_symmetry_space_group_name_Hall 'P 1'
_cell_length_a 7.590
_cell_length_b 7.590
_cell_length_c 7.590
_cell_angle_alpha 90.00
_cell_angle_beta 90.00
_cell_angle_gamma 90.00
loop_
_atom_site_label
_atom_site_type_symbol
_atom_site_fract_x
_atom_site_fract_y
_atom_site_fract_z
_atom_site_occupancy
Cs1 Cs 0.000 0.000 0.000 1
Cs2 Cs 0.000 0.500 0.500 1
Cs3 Cs 0.500 0.000 0.500 1
Cs4 Cs 0.500 0.500 0.000 1
Sm1 Sm 0.250 0.250 0.250 1
Sm2 Sm 0.250 0.750 0.750 1
Sm3 Sm 0.750 0.250 0.750 1
Sm4 Sm 0.750 0.750 0.250 1
Zn1 Zn 0.000 0.000 0.500 1
Zn2 Zn 0.000 0.500 0.000 1
Zn3 Zn 0.500 0.000 0.000 1
Zn4 Zn 0.500 0.500 0.500 1
```

Values from the calculation:
- Total moment: 0.06 Bohr magnetons per cell



Of them, w has the lowest stability.



--- w ---
The following is a GGA-PBE calculation of a geometry-optimized CsTmSnTe3 structure, from the Open Quantum Materials Database.

Structure (CIF):
```
data_CsTmSnTe3
_symmetry_space_group_name_H-M 'P 1'
_symmetry_Int_Tables_number 1
_symmetry_space_group_name_Hall 'P 1'
_cell_length_a 9.144
_cell_length_b 9.144
_cell_length_c 12.784
_cell_angle_alpha 90.00
_cell_angle_beta 90.00
_cell_angle_gamma 152.37
loop_
_atom_site_label
_atom_site_type_symbol
_atom_site_fract_x
_atom_site_fract_y
_atom_site_fract_z
_atom_site_occupancy
Cs1 Cs 0.220 0.780 0.750 1
Cs2 Cs 0.780 0.220 0.250 1
Tm1 Tm 0.500 0.500 0.000 1
Tm2 Tm 0.500 0.500 0.500 1
Sn1 Sn 0.094 0.906 0.250 1
Sn2 Sn 0.906 0.094 0.750 1
Te1 Te 0.119 0.881 0.008 1
Te2 Te 0.119 0.881 0.492 1
Te3 Te 0.482 0.518 0.250 1
Te4 Te 0.518 0.482 0.750 1
Te5 Te 0.881 0.119 0.508 1
Te6 Te 0.881 0.119 0.992 1
```

Values from the calculation:
- Total moment: 0.00 Bohr magnetons per cell



--- x ---
The following is a GGA-PBE calculation of a geometry-optimized CsTmSnTe3 structure, from the Open Quantum Materials Database.

Structure (CIF):
```
data_CsTmSnTe3
_symmetry_space_group_name_H-M 'P 1'
_symmetry_Int_Tables_number 1
_symmetry_space_group_name_Hall 'P 1'
_cell_length_a 17.709
_cell_length_b 4.428
_cell_length_c 12.568
_cell_angle_alpha 90.00
_cell_angle_beta 90.00
_cell_angle_gamma 90.00
loop_
_atom_site_label
_atom_site_type_symbol
_atom_site_fract_x
_atom_site_fract_y
_atom_site_fract_z
_atom_site_occupancy
Cs1 Cs 0.227 0.250 0.074 1
Cs2 Cs 0.273 0.750 0.574 1
Cs3 Cs 0.727 0.250 0.426 1
Cs4 Cs 0.773 0.750 0.926 1
Tm1 Tm 0.010 0.750 0.645 1
Tm2 Tm 0.490 0.250 0.145 1
Tm3 Tm 0.510 0.750 0.855 1
Tm4 Tm 0.990 0.250 0.355 1
Sn1 Sn 0.035 0.250 0.916 1
Sn2 Sn 0.465 0.750 0.416 1
Sn3 Sn 0.535 0.250 0.584 1
Sn4 Sn 0.965 0.750 0.084 1
Te1 Te 0.083 0.750 0.241 1
Te2 Te 0.100 0.250 0.537 1
Te3 Te 0.129 0.750 0.827 1
Te4 Te 0.371 0.250 0.327 1
Te5 Te 0.400 0.750 0.037 1
Te6 Te 0.417 0.250 0.741 1
Te7 Te 0.583 0.750 0.259 1
Te8 Te 0.600 0.250 0.963 1
Te9 Te 0.629 0.750 0.673 1
Te10 Te 0.871 0.250 0.173 1
Te11 Te 0.900 0.750 0.463 1
Te12 Te 0.917 0.250 0.759 1
```

Values from the calculation:
- Total moment: 0.00 Bohr magnetons per cell



Of them, w has the lowest stability.



--- w ---
The following is a GGA-PBE calculation of a geometry-optimized CsZnSn structure, from the Open Quantum Materials Database.

Structure (CIF):
```
data_CsZnSn
_symmetry_space_group_name_H-M 'P 1'
_symmetry_Int_Tables_number 1
_symmetry_space_group_name_Hall 'P 1'
_cell_length_a 8.315
_cell_length_b 8.315
_cell_length_c 8.315
_cell_angle_alpha 90.00
_cell_angle_beta 90.00
_cell_angle_gamma 90.00
loop_
_atom_site_label
_atom_site_type_symbol
_atom_site_fract_x
_atom_site_fract_y
_atom_site_fract_z
_atom_site_occupancy
Cs1 Cs 0.000 0.000 0.000 1
Cs2 Cs 0.000 0.500 0.500 1
Cs3 Cs 0.500 0.000 0.500 1
Cs4 Cs 0.500 0.500 0.000 1
Zn1 Zn 0.250 0.250 0.250 1
Zn2 Zn 0.250 0.750 0.750 1
Zn3 Zn 0.750 0.250 0.750 1
Zn4 Zn 0.750 0.750 0.250 1
Sn1 Sn 0.250 0.250 0.750 1
Sn2 Sn 0.250 0.750 0.250 1
Sn3 Sn 0.750 0.250 0.250 1
Sn4 Sn 0.750 0.750 0.750 1
```



--- x ---
The following is a GGA-PBE calculation of a geometry-optimized CsZnSn structure, from the Open Quantum Materials Database.

Structure (CIF):
```
data_CsZnSn
_symmetry_space_group_name_H-M 'P 1'
_symmetry_Int_Tables_number 1
_symmetry_space_group_name_Hall 'P 1'
_cell_length_a 7.889
_cell_length_b 7.889
_cell_length_c 7.889
_cell_angle_alpha 90.00
_cell_angle_beta 90.00
_cell_angle_gamma 90.00
loop_
_atom_site_label
_atom_site_type_symbol
_atom_site_fract_x
_atom_site_fract_y
_atom_site_fract_z
_atom_site_occupancy
Cs1 Cs 0.000 0.000 0.000 1
Cs2 Cs 0.000 0.500 0.500 1
Cs3 Cs 0.500 0.000 0.500 1
Cs4 Cs 0.500 0.500 0.000 1
Zn1 Zn 0.000 0.000 0.500 1
Zn2 Zn 0.000 0.500 0.000 1
Zn3 Zn 0.500 0.000 0.000 1
Zn4 Zn 0.500 0.500 0.500 1
Sn1 Sn 0.250 0.250 0.250 1
Sn2 Sn 0.250 0.750 0.750 1
Sn3 Sn 0.750 0.250 0.750 1
Sn4 Sn 0.750 0.750 0.250 1
```



Of them, w has the lowest stability.



--- w ---
The following is a GGA-PBE calculation of a geometry-optimized CsSrTm structure, from the Open Quantum Materials Database.

Structure (CIF):
```
data_CsSrTm
_symmetry_space_group_name_H-M 'P 1'
_symmetry_Int_Tables_number 1
_symmetry_space_group_name_Hall 'P 1'
_cell_length_a 8.588
_cell_length_b 8.588
_cell_length_c 8.588
_cell_angle_alpha 90.00
_cell_angle_beta 90.00
_cell_angle_gamma 90.00
loop_
_atom_site_label
_atom_site_type_symbol
_atom_site_fract_x
_atom_site_fract_y
_atom_site_fract_z
_atom_site_occupancy
Cs1 Cs 0.000 0.000 0.000 1
Cs2 Cs 0.000 0.500 0.500 1
Cs3 Cs 0.500 0.000 0.500 1
Cs4 Cs 0.500 0.500 0.000 1
Sr1 Sr 0.250 0.250 0.250 1
Sr2 Sr 0.250 0.750 0.750 1
Sr3 Sr 0.750 0.250 0.750 1
Sr4 Sr 0.750 0.750 0.250 1
Tm1 Tm 0.250 0.250 0.750 1
Tm2 Tm 0.250 0.750 0.250 1
Tm3 Tm 0.750 0.250 0.250 1
Tm4 Tm 0.750 0.750 0.750 1
```

Values from the calculation:
- Total moment: 0.03 Bohr magnetons per cell



--- x ---
The following is a GGA-PBE calculation of a geometry-optimized CsSrTm structure, from the Open Quantum Materials Database.

Structure (CIF):
```
data_CsSrTm
_symmetry_space_group_name_H-M 'P 1'
_symmetry_Int_Tables_number 1
_symmetry_space_group_name_Hall 'P 1'
_cell_length_a 9.204
_cell_length_b 9.204
_cell_length_c 9.204
_cell_angle_alpha 90.00
_cell_angle_beta 90.00
_cell_angle_gamma 90.00
loop_
_atom_site_label
_atom_site_type_symbol
_atom_site_fract_x
_atom_site_fract_y
_atom_site_fract_z
_atom_site_occupancy
Cs1 Cs 0.000 0.000 0.000 1
Cs2 Cs 0.000 0.500 0.500 1
Cs3 Cs 0.500 0.000 0.500 1
Cs4 Cs 0.500 0.500 0.000 1
Sr1 Sr 0.000 0.000 0.500 1
Sr2 Sr 0.000 0.500 0.000 1
Sr3 Sr 0.500 0.000 0.000 1
Sr4 Sr 0.500 0.500 0.500 1
Tm1 Tm 0.250 0.250 0.250 1
Tm2 Tm 0.250 0.750 0.750 1
Tm3 Tm 0.750 0.250 0.750 1
Tm4 Tm 0.750 0.750 0.250 1
```

Values from the calculation:
- Total moment: 8.54 Bohr magnetons per cell



Of them, w has the lowest stability.